Here is a geometry-optimized TmZnAg structure from Alexandria. Energies are from PBE.

Unit cell a=5.144 b=8.151 c=5.870 alpha=90.00 beta=90.00 gamma=90.00
Space group Cmcm (No. 63)
Asymmetric unit:
Tm 0.000 0.155 0.250
Zn 0.000 0.196 0.750
Ag 0.000 0.500 0.000

Properties
The calculated density comes out at 9.23 g cm⁻³. The calculation puts the energy of formation from the pure elements at -0.219 eV/atom.